Record 1
TePPb2 | Alexandria via LeMat-Bulk | PBEsol | optimized geometry; formation energy without anion corrections = 0.113 eV/atom; crystal system = tetragonal; energy relative to the lowest polymorph listed for this composition = 84 meV/atom; calculated total energy = -16.86 eV per formula unit; density = 9.16 g/cm3
1.0
3.520 0.000 0.000
0.000 3.520 0.000
0.000 0.000 8.386
Te P Pb
1 1 2
direct
0.000 0.000 0.000 Te
0.000 0.000 0.500 P
0.500 0.500 0.297 Pb
0.500 0.500 0.703 Pb

Record 2
Te2PPb | Alexandria via LeMat-Bulk | PBEsol | optimized geometry; formation energy without anion corrections = 0.109 eV/atom; crystal system = orthorhombic; energy relative to the lowest polymorph listed for this composition = 78 meV/atom; calculated total energy = -16.41 eV per formula unit; density = 7.93 g/cm3
1.0
-1.908 2.689 5.036
1.908 -2.689 5.036
1.908 2.689 -5.036
Te P Pb
2 1 1
direct
0.196 0.196 0.000 Te
0.804 0.804 0.000 Te
0.000 0.500 0.500 P
0.500 0.000 0.500 Pb

Record 3
TePPb | Alexandria via LeMat-Bulk | PBEsol | optimized geometry; formation energy without anion corrections = 0.094 eV/atom; crystal system = orthorhombic; energy relative to the lowest polymorph listed for this composition = 0 meV/atom; calculated total energy = -13.03 eV per formula unit; density = 6.72 g/cm3
1.0
7.125 0.000 0.000
0.000 7.191 0.000
0.000 0.000 14.117
Te P Pb
8 8 8
direct
0.103 0.099 0.165 Te
0.103 0.401 0.665 Te
0.397 0.599 0.165 Te
0.397 0.901 0.665 Te
0.603 0.099 0.335 Te
0.603 0.401 0.835 Te
0.897 0.599 0.335 Te
0.897 0.901 0.835 Te
0.098 0.694 0.926 P
0.098 0.806 0.426 P
0.402 0.194 0.926 P
0.402 0.306 0.426 P
0.598 0.694 0.574 P
0.598 0.806 0.074 P
0.902 0.194 0.574 P
0.902 0.306 0.074 P
0.038 0.186 0.387 Pb
0.038 0.314 0.887 Pb
0.462 0.686 0.387 Pb
0.462 0.814 0.887 Pb
0.538 0.186 0.113 Pb
0.538 0.314 0.613 Pb
0.962 0.686 0.113 Pb
0.962 0.814 0.613 Pb

Copy entry 3 word for word.
TePPb | Alexandria via LeMat-Bulk | PBEsol | optimized geometry; formation energy without anion corrections = 0.094 eV/atom; crystal system = orthorhombic; energy relative to the lowest polymorph listed for this composition = 0 meV/atom; calculated total energy = -13.03 eV per formula unit; density = 6.72 g/cm3
1.0
7.125 0.000 0.000
0.000 7.191 0.000
0.000 0.000 14.117
Te P Pb
8 8 8
direct
0.103 0.099 0.165 Te
0.103 0.401 0.665 Te
0.397 0.599 0.165 Te
0.397 0.901 0.665 Te
0.603 0.099 0.335 Te
0.603 0.401 0.835 Te
0.897 0.599 0.335 Te
0.897 0.901 0.835 Te
0.098 0.694 0.926 P
0.098 0.806 0.426 P
0.402 0.194 0.926 P
0.402 0.306 0.426 P
0.598 0.694 0.574 P
0.598 0.806 0.074 P
0.902 0.194 0.574 P
0.902 0.306 0.074 P
0.038 0.186 0.387 Pb
0.038 0.314 0.887 Pb
0.462 0.686 0.387 Pb
0.462 0.814 0.887 Pb
0.538 0.186 0.113 Pb
0.538 0.314 0.613 Pb
0.962 0.686 0.113 Pb
0.962 0.814 0.613 Pb

Question: Which of these has the lowest calculated total energy?
Answer: TePPb2

Question: The highest formation energy without anion corrections belongs to which entry?
Answer: TePPb2

Question: Which value of energy relative to the lowest polymorph listed for this composition does entry 2 give?
Answer: 78 meV/atom